(1)
Compound: La2MnAlPb
Source: Alexandria
Functional: PBE-GGA
Structure: optimized geometry

Calculated values
VASP energy: -4.266 eV per atom
Energy relative to the lowest polymorph listed for this composition: 0.182 eV/atom
Volume: 33.42 Å³/atom
DOS(E_F): 11.508 states/eV per cell
ΔE_f: 1029 meV/atom

Cell lengths 5.732, 5.732, 5.086 Å; angles 90.00, 90.00, 90.00 degrees
Space group P4/mmm (No. 123)
One atom of each set of equivalent atoms:
La  0.000  0.500  0.000
Mn  0.000  0.000  0.500
Al  0.500  0.500  0.000
Pb  0.500  0.500  0.500

---

(2)
Compound: LaPmMnAl
Source: Alexandria
Functional: PBE-GGA
Structure: optimized geometry

Calculated values
VASP energy: -5.649 eV per atom
Volume: 26.01 Å³/atom
DOS(E_F): 20.074 states/eV per cell
ΔE_f: -1 meV/atom

Cell lengths 7.466, 7.466, 7.466 Å; angles 90.00, 90.00, 90.00 degrees
Space group F-43m (No. 216)
One atom of each set of equivalent atoms:
La  0.000  0.000  0.000
Pm  0.000  0.000  0.500
Mn  0.250  0.250  0.750
Al  0.250  0.250  0.250

---

(3)
Compound: LaMnAlPt3
Source: Alexandria
Functional: PBE-GGA
Structure: optimized geometry

Calculated values
VASP energy: -6.620 eV per atom
Volume: 19.94 Å³/atom
DOS(E_F): 15.382 states/eV per cell
ΔE_f: -626 meV/atom

Cell lengths 6.906, 12.106, 5.724 Å; angles 90.00, 90.00, 90.00 degrees
Space group Cmcm (No. 63)
One atom of each set of equivalent atoms:
La  0.000  0.213  0.250
Mn  0.000  0.461  0.250
Al  0.000  0.126  0.750
Pt  0.000  0.325  0.750
Pt  0.205  0.000  0.000

---

(4)
Compound: La2MnAl3Pt12
Source: Alexandria
Functional: PBE-GGA
Structure: optimized geometry

Calculated values
VASP energy: -6.260 eV per atom
Volume: 19.30 Å³/atom
DOS(E_F): 25.318 states/eV per cell
ΔE_f: -552 meV/atom

Cell lengths 6.8305, 6.8305, 25.7897 Å; angles 90.00, 90.00, 120.00 degrees
Space group R-3m (No. 166, hexagonal axes)
One atom of each set of equivalent atoms:
La  0.0000  0.0000  0.1576
Mn  0.0000  0.0000  0.5000
Al  0.0000  0.5000  0.0000
Pt  0.0473  0.5236  0.0992
Pt  0.0603  0.5302  0.6206

---

(5)
Compound: La2MnAlS6
Source: Alexandria
Functional: PBE-GGA
Structure: optimized geometry

Calculated values
VASP energy: -6.247 eV per atom
Formation energy from raw total energies: -1.49 eV per atom
Volume: 21.11 Å³/atom

Cell lengths 6.356, 7.222, 11.144 Å; angles 90.00, 124.38, 90.00 degrees
Space group P2_1/c (No. 14)
One atom of each set of equivalent atoms:
La  0.211  0.107  0.249
Mn  0.500  0.000  0.000
Al  0.000  0.000  0.500
S  0.145  0.179  0.954
S  0.258  0.671  0.954
S  0.354  0.008  0.753

---

(6)
Compound: La3MnAlS7
Source: Alexandria
Functional: PBE-GGA
Structure: optimized geometry

Calculated values
VASP energy: -6.396 eV per atom
Formation energy from raw total energies: -1.68 eV per atom
Volume: 22.54 Å³/atom
DOS(E_F): 4.545 states/eV per cell

Cell lengths 10.0134, 10.0134, 6.2297 Å; angles 90.00, 90.00, 120.00 degrees
Space group P6_3 (No. 173)
One atom of each set of equivalent atoms:
La  0.1522  0.3736  0.0000
Mn  0.0000  0.0000  0.3430
Al  0.3333  0.6667  0.4247
S  0.0869  0.2092  0.5941
S  0.0951  0.5724  0.2841
S  0.3333  0.6667  0.7834

---

(7)
Compound: LaSc2MnAl
Source: Alexandria
Functional: PBE-GGA
Structure: optimized geometry

Calculated values
VASP energy: -5.010 eV per atom
Energy relative to the lowest polymorph listed for this composition: 1.149 eV/atom
Volume: 29.38 Å³/atom
DOS(E_F): 12.861 states/eV per cell
ΔE_f: 1090 meV/atom

Cell lengths 5.080, 5.080, 5.693 Å; angles 90.00, 90.00, 90.00 degrees
Space group P4/mmm (No. 123)
One atom of each set of equivalent atoms:
La  0.000  0.000  0.000
Sc  0.000  0.500  0.500
Mn  0.500  0.500  0.000
Al  0.000  0.000  0.500

---

(8)
Compound: LaSc2MnAl
Source: Alexandria
Functional: PBE-GGA
Structure: optimized geometry

Calculated values
VASP energy: -6.159 eV per atom
Energy relative to the lowest polymorph listed for this composition: 0.000 eV/atom
Volume: 22.87 Å³/atom
DOS(E_F): 3.708 states/eV per cell
ΔE_f: -58 meV/atom

Cell lengths 4.818, 4.818, 4.927 Å; angles 90.00, 90.00, 90.00 degrees
Space group P4/mmm (No. 123)
One atom of each set of equivalent atoms:
La  0.000  0.000  0.000
Sc  0.000  0.500  0.500
Mn  0.500  0.500  0.500
Al  0.500  0.500  0.000

---

(9)
Compound: SrLaMnAl2
Source: Alexandria
Functional: PBE-GGA
Structure: optimized geometry

Calculated values
VASP energy: -4.720 eV per atom
Volume: 24.51 Å³/atom
DOS(E_F): 4.022 states/eV per cell
ΔE_f: -68 meV/atom

Cell lengths 4.969, 4.969, 4.964 Å; angles 90.00, 90.00, 90.00 degrees
Space group P4/mmm (No. 123)
One atom of each set of equivalent atoms:
Sr  0.000  0.000  0.000
La  0.500  0.500  0.000
Mn  0.500  0.500  0.500
Al  0.000  0.500  0.500

---

(10)
Compound: SrLa2MnAl
Source: Alexandria
Functional: PBE-GGA
Structure: optimized geometry

Calculated values
VASP energy: -4.830 eV per atom
Volume: 28.64 Å³/atom
DOS(E_F): 3.474 states/eV per cell
ΔE_f: 59 meV/atom

Cell lengths 5.279, 5.279, 5.139 Å; angles 90.00, 90.00, 90.00 degrees
Space group P4/mmm (No. 123)
One atom of each set of equivalent atoms:
Sr  0.000  0.000  0.000
La  0.000  0.500  0.500
Mn  0.500  0.500  0.500
Al  0.500  0.500  0.000

---

(11)
Compound: LaTbMnAl
Source: Alexandria
Functional: PBE-GGA
Structure: optimized geometry

Calculated values
VASP energy: -5.642 eV per atom
Volume: 25.12 Å³/atom
DOS(E_F): 19.477 states/eV per cell
ΔE_f: -24 meV/atom

Cell lengths 7.380, 7.380, 7.380 Å; angles 90.00, 90.00, 90.00 degrees
Space group F-43m (No. 216)
One atom of each set of equivalent atoms:
La  0.000  0.000  0.000
Tb  0.000  0.000  0.500
Mn  0.250  0.250  0.250
Al  0.250  0.250  0.750

---

(12)
Compound: La2MnAlTl
Source: Alexandria
Functional: PBE-GGA
Structure: optimized geometry

Calculated values
VASP energy: -5.129 eV per atom
Volume: 26.23 Å³/atom
DOS(E_F): 4.446 states/eV per cell
ΔE_f: -102 meV/atom

Cell lengths 5.185, 5.185, 4.879 Å; angles 90.00, 90.00, 90.00 degrees
Space group P4/mmm (No. 123)
One atom of each set of equivalent atoms:
La  0.000  0.500  0.000
Mn  0.000  0.000  0.000
Al  0.000  0.000  0.500
Tl  0.500  0.500  0.500

---

(13)
Compound: LaMn2AlW
Source: Alexandria
Functional: PBE-GGA
Structure: optimized geometry

Calculated values
VASP energy: -6.922 eV per atom
Volume: 24.99 Å³/atom
DOS(E_F): 5.908 states/eV per cell
ΔE_f: 1070 meV/atom

Cell lengths 4.766, 4.766, 5.500 Å; angles 90.00, 90.00, 90.00 degrees
Space group P4/mmm (No. 123)
One atom of each set of equivalent atoms:
La  0.000  0.000  0.000
Mn  0.000  0.500  0.500
Al  0.500  0.500  0.000
W  0.000  0.000  0.500

---

(14)
Compound: LaAlMo
Source: Alexandria
Functional: PBE-GGA
Structure: optimized geometry

Calculated values
VASP energy: -5.235 eV per atom
Energy relative to the lowest polymorph listed for this composition: 1.154 eV/atom
Volume: 28.48 Å³/atom
DOS(E_F): 13.321 states/eV per cell
ΔE_f: 1265 meV/atom

Cell lengths 6.992, 6.992, 6.992 Å; angles 90.00, 90.00, 90.00 degrees
Space group F-43m (No. 216)
One atom of each set of equivalent atoms:
La  0.000  0.000  0.000
Al  0.250  0.250  0.250
Mo  0.250  0.250  0.750

---

(15)
Compound: LaAl2Mo
Source: Alexandria
Functional: PBE-GGA
Structure: optimized geometry

Calculated values
VASP energy: -5.564 eV per atom
Energy relative to the lowest polymorph listed for this composition: 0.377 eV/atom
Volume: 20.53 Å³/atom
DOS(E_F): 8.316 states/eV per cell
ΔE_f: 247 meV/atom

Cell lengths 3.780, 4.851, 8.953 Å; angles 90.00, 90.00, 90.00 degrees
Space group Imm2 (No. 44)
One atom of each set of equivalent atoms:
La  0.000  0.000  0.000
Al  0.000  0.000  0.497
Al  0.000  0.500  0.226
Mo  0.000  0.500  0.765

---

(16)
Compound: LaAl2Mo
Source: Alexandria
Functional: PBE-GGA
Structure: optimized geometry

Calculated values
VASP energy: -5.669 eV per atom
Energy relative to the lowest polymorph listed for this composition: 0.272 eV/atom
Volume: 20.45 Å³/atom
DOS(E_F): 6.369 states/eV per cell
ΔE_f: 142 meV/atom

Cell lengths 9.741, 2.925, 5.844 Å; angles 90.00, 100.65, 90.00 degrees
Space group Cm (No. 8)
One atom of each set of equivalent atoms:
La  0.000  0.000  0.000
Al  0.005  0.500  0.490
Al  0.234  0.000  0.681
Mo  0.274  0.500  0.313

---

(17)
Compound: LaAl3Mo
Source: Alexandria
Functional: PBE-GGA
Structure: optimized geometry

Calculated values
VASP energy: -5.555 eV per atom
Energy relative to the lowest polymorph listed for this composition: 0.000 eV/atom
Volume: 23.01 Å³/atom
DOS(E_F): 2.700 states/eV per cell
ΔE_f: -158 meV/atom

Cell lengths 4.864, 4.864, 4.864 Å; angles 90.00, 90.00, 90.00 degrees
Space group Pm-3m (No. 221)
One atom of each set of equivalent atoms:
La  0.000  0.000  0.000
Al  0.000  0.500  0.500
Mo  0.500  0.500  0.500

---

(18)
Compound: LaAl2Mo
Source: Alexandria
Functional: PBE-GGA
Structure: optimized geometry

Calculated values
VASP energy: -5.413 eV per atom
Energy relative to the lowest polymorph listed for this composition: 0.528 eV/atom
Volume: 25.63 Å³/atom
DOS(E_F): 13.930 states/eV per cell
ΔE_f: 398 meV/atom

Cell lengths 4.757, 4.757, 18.124 Å; angles 90.00, 90.00, 90.00 degrees
Space group I-42d (No. 122)
One atom of each set of equivalent atoms:
La  0.000  0.000  0.000
Al  0.077  0.250  0.625
Mo  0.000  0.000  0.500

---

(19)
Compound: LaAl2Mo
Source: Alexandria
Functional: PBE-GGA
Structure: optimized geometry

Calculated values
VASP energy: -5.941 eV per atom
Energy relative to the lowest polymorph listed for this composition: 0.000 eV/atom
Volume: 20.14 Å³/atom
DOS(E_F): 4.760 states/eV per cell
ΔE_f: -130 meV/atom

Cell lengths 3.008, 3.566, 7.512 Å; angles 90.00, 90.00, 90.00 degrees
Space group Pmmm (No. 47)
One atom of each set of equivalent atoms:
La  0.000  0.000  0.000
Al  0.500  0.500  0.314
Mo  0.000  0.000  0.500

---

(20)
Compound: La2AlMo
Source: Alexandria
Functional: PBE-GGA
Structure: optimized geometry

Calculated values
VASP energy: -5.887 eV per atom
Volume: 23.87 Å³/atom
DOS(E_F): 9.832 states/eV per cell
ΔE_f: 220 meV/atom

Cell lengths 4.641, 4.641, 8.864 Å; angles 90.00, 90.00, 90.00 degrees
Space group I-4m2 (No. 119)
One atom of each set of equivalent atoms:
La  0.000  0.000  0.000
La  0.000  0.500  0.250
Al  0.000  0.000  0.500
Mo  0.000  0.500  0.750

---

(21)
Compound: La2AlMo
Source: Alexandria
Functional: PBE-GGA
Structure: optimized geometry

Calculated values
VASP energy: -6.009 eV per atom
Volume: 24.92 Å³/atom
DOS(E_F): 8.022 states/eV per cell
ΔE_f: 98 meV/atom

Cell lengths 3.948, 5.049, 10.003 Å; angles 90.00, 90.00, 90.00 degrees
Space group Imm2 (No. 44)
One atom of each set of equivalent atoms:
La  0.000  0.000  0.000
La  0.000  0.500  0.216
Al  0.000  0.500  0.775
Mo  0.000  0.000  0.444

---

(22)
Compound: LaAlMo
Source: Alexandria
Functional: PBE-GGA
Structure: optimized geometry

Calculated values
VASP energy: -6.266 eV per atom
Energy relative to the lowest polymorph listed for this composition: 0.123 eV/atom
Volume: 20.72 Å³/atom
DOS(E_F): 5.262 states/eV per cell
ΔE_f: 234 meV/atom

Cell lengths 2.957, 2.957, 14.211 Å; angles 90.00, 90.00, 90.00 degrees
Space group I4mm (No. 107)
One atom of each set of equivalent atoms:
La  0.000  0.000  0.000
Al  0.000  0.000  0.687
Mo  0.000  0.000  0.316

---

(23)
Compound: LaAl2Mo
Source: Alexandria
Functional: PBE-GGA
Structure: optimized geometry

Calculated values
VASP energy: -5.757 eV per atom
Energy relative to the lowest polymorph listed for this composition: 0.183 eV/atom
Volume: 21.15 Å³/atom
DOS(E_F): 4.010 states/eV per cell
ΔE_f: 54 meV/atom

Cell lengths 3.002, 4.306, 6.689 Å; angles 90.00, 101.85, 90.00 degrees
Space group Pm (No. 6)
One atom of each set of equivalent atoms:
La  0.000  0.000  0.000
Al  0.257  0.000  0.468
Al  0.365  0.500  0.711
Mo  0.707  0.500  0.368

---

(24)
Compound: La2AlMo
Source: Alexandria
Functional: PBE-GGA
Structure: optimized geometry

Calculated values
VASP energy: -5.829 eV per atom
Volume: 24.63 Å³/atom
DOS(E_F): 9.628 states/eV per cell
ΔE_f: 278 meV/atom

Cell lengths 6.728, 9.137, 3.205 Å; angles 90.00, 90.00, 90.00 degrees
Space group Cmmm (No. 65)
One atom of each set of equivalent atoms:
La  0.250  0.250  0.000
Al  0.000  0.000  0.500
Mo  0.000  0.500  0.500

---

(25)
Compound: LaAl2Mo
Source: Alexandria
Functional: PBE-GGA
Structure: optimized geometry

Calculated values
VASP energy: -5.593 eV per atom
Energy relative to the lowest polymorph listed for this composition: 0.347 eV/atom
Volume: 20.19 Å³/atom
DOS(E_F): 4.389 states/eV per cell
ΔE_f: 218 meV/atom

Cell lengths 3.906, 4.307, 4.801 Å; angles 90.00, 90.00, 90.00 degrees
Space group Pmmm (No. 47)
One atom of each set of equivalent atoms:
La  0.000  0.000  0.000
Al  0.000  0.500  0.500
Al  0.500  0.000  0.500
Mo  0.500  0.500  0.000

---

(26)
Compound: La2Al2Mo
Source: Alexandria
Functional: PBE-GGA
Structure: optimized geometry

Calculated values
VASP energy: -4.970 eV per atom
Energy relative to the lowest polymorph listed for this composition: 0.339 eV/atom
Volume: 24.54 Å³/atom
DOS(E_F): 11.858 states/eV per cell
ΔE_f: 664 meV/atom

Cell lengths 8.814, 8.814, 3.158 Å; angles 90.00, 90.00, 90.00 degrees
Space group P4/mbm (No. 127)
One atom of each set of equivalent atoms:
La  0.125  0.375  0.000
Al  0.175  0.675  0.500
Mo  0.000  0.000  0.000